Entry 1:
This record from the Alexandria database describes YThOsPt after structural relaxation. The functional is PBE-GGA.

a b c (Å): 7.0690 7.0690 7.0690
angles (deg): 90.00 90.00 90.00
With the nearest neighbours (Å) after each atom.
Space group F-43m (No. 216)
Inequivalent atoms, fractional coordinates:
Y  0.0000  0.0000  0.0000 (multiplicity 4)  4 Pt 3.06, 4 Os 3.06
Th  0.0000  0.0000  0.5000 (multiplicity 4)  4 Os 3.06, 4 Pt 3.06
Os  0.2500  0.2500  0.7500 (multiplicity 4)  4 Th 3.06, 4 Y 3.06
Pt  0.2500  0.2500  0.2500 (multiplicity 4)  4 Th 3.06, 4 Y 3.06

E_form = -626.1 meV per atom



Entry 2:
This record from the Alexandria database describes TiOsPt3 after structural relaxation. The functional is PBE-GGA.

a b c (Å): 4.7958 4.7958 4.7958
angles (deg): 90.00 90.00 90.00
With the nearest neighbours (Å) after each atom.
Space group Pm-3m (No. 221)
Inequivalent atoms, fractional coordinates:
Ti  0.0000  0.0000  0.0000 (multiplicity 1)  12 Pt 3.39
Os  0.5000  0.5000  0.5000 (multiplicity 1)  6 Pt 2.40
Pt  0.0000  0.5000  0.5000 (multiplicity 3)  2 Os 2.40

E_form = 1202.1 meV per atom



Entry 3:
This record from the Alexandria database describes Ti2OsPt2 after structural relaxation. The functional is PBE-GGA.

a b c (Å): 7.3765 7.3765 2.9051
angles (deg): 90.00 90.00 90.00
With the nearest neighbours (Å) after each atom.
Space group P4/mbm (No. 127)
Inequivalent atoms, fractional coordinates:
Ti  0.1716  0.3284  0.0000 (multiplicity 4)  6 Pt 2.52-2.68
Os  0.0000  0.0000  0.5000 (multiplicity 2)  4 Pt 2.89, 2 Os 2.91, 8 Ti 3.10
Pt  0.1307  0.6307  0.5000 (multiplicity 4)  6 Ti 2.52-2.68, 1 Pt 2.73

E_form = -469.0 meV per atom



Entry 4:
This record from the Alexandria database describes Ti5Os4Pt after structural relaxation. The functional is PBE-GGA.

a b c (Å): 3.1121 3.1121 15.4699
angles (deg): 90.00 90.00 90.00
With the nearest neighbours (Å) after each atom.
Space group P4/mmm (No. 123)
Inequivalent atoms, fractional coordinates:
Ti  0.0000  0.0000  0.0000 (multiplicity 1)  8 Os 2.69
Ti  0.0000  0.0000  0.1981 (multiplicity 2)  8 Os 2.68-2.70
Ti  0.0000  0.0000  0.3951 (multiplicity 2)  4 Os 2.65, 4 Pt 2.73
Os  0.5000  0.5000  0.0995 (multiplicity 2)  8 Ti 2.68-2.69
Os  0.5000  0.5000  0.2991 (multiplicity 2)  8 Ti 2.65-2.70
Pt  0.5000  0.5000  0.5000 (multiplicity 1)  8 Ti 2.73

E_form = -714.1 meV per atom



no.,raw total energy (eV/atom)
1,-8.4147
2,-6.2473
3,-8.2892
4,-9.7576